Material: Fe2TeRh
Method: DFT, GGA-PBE
State: optimized geometry

The structure belongs to space group P4mm (No. 99); the cell edges are 3.167, 3.167 and 6.075 Å and the angles 90.00°, 90.00° and 90.00°. Symmetry generates all atoms from Fe at (0.000, 0.000, 0.000), Fe at (0.500, 0.500, 0.214), Te at (0.500, 0.500, 0.744) and Rh at (0.000, 0.000, 0.454).

The value obtained for the magnetization is 5.4 μB per formula unit. The calculation puts the formation energy (no corrections) at 0.68 eV per formula unit. Its calculated total energy is -0.24567 hartree per atom.